1.
KSrNbN2: optimized geometry, GGA-PBE.

Its uncorrected formation energy is 2.33 eV/atom. As for the density: 3.31 Mg/m³. For the calculated volume, the calculation gives 124.2 Å³/cell. The value obtained for the total energy is -3.57 eV per atom. For the total magnetic moment, the calculation gives 1.81 Bohr magnetons per cell.

It has space group P4/mmm (No. 123), with a = 4.982 Å, b = 4.982 Å, c = 5.003 Å, α = 90.00°, β = 90.00° and γ = 90.00°. The inequivalent atoms are K at (0.000, 0.000, 0.000), Sr at (0.500, 0.500, 0.500), Nb at (0.000, 0.000, 0.500) and N at (0.000, 0.500, 0.000).

=====

2.
Tb3Sm3Y5: optimized geometry, GGA-PBE.

The value obtained for the energy of formation from the pure elements is 78.1 kJ/mol of atoms. As for the density: 5.12 Mg/m³. For the calculated volume, the calculation gives 445.0 Å³/cell. The value obtained for the total energy is -4.68 eV per atom. For the total magnetic moment, the calculation gives 0.00 Bohr magnetons per cell.

It has space group P-62m (No. 189), with a = 9.6850 Å, b = 9.6850 Å, c = 5.4783 Å, α = 90.00°, β = 90.00° and γ = 120.00°. The inequivalent atoms are Tb at (0.0000, 0.4514, 0.0000), Sm at (0.0000, 0.6280, 0.5000), Y at (0.0000, 0.2588, 0.5000) and Y at (0.3333, 0.6667, 0.5000).